First-principles (GGA-PBE) data for a geometry-optimized Cs2InAsI6 structure, as listed in the Alexandria database.

Computed properties:
Raw formation energy ... -785 kJ/mol of formula units
Spin magnetization ... 0.00 μB per formula unit
E_tot ... -2.654 eV/atom

Lattice parameters (Å, degrees): 8.6554 8.6554 8.6554 60.00 60.00 60.00
Sites, in units of the cell vectors:
Cs: 0.7500 0.7500 0.7500
Cs: 0.2500 0.2500 0.2500
In: 0.5000 0.5000 0.5000
As: 0.0000 0.0000 0.0000
I: 0.7624 0.2376 0.2376
I: 0.2376 0.2376 0.7624
I: 0.2376 0.7624 0.7624
I: 0.2376 0.7624 0.2376
I: 0.7624 0.2376 0.7624
I: 0.7624 0.7624 0.2376

***

First-principles (GGA-PBE) data for a geometry-optimized Cs2AsIrI6 structure, as listed in the Alexandria database.

Computed properties:
Raw formation energy ... -503 kJ/mol of formula units
Spin magnetization ... 0.00 μB per formula unit
E_tot ... -2.974 eV/atom

Lattice parameters (Å, degrees): 8.1296 8.1296 8.1590 60.12 60.12 90.00
Sites, in units of the cell vectors:
Cs: 0.7500 0.2500 0.5000
Cs: 0.2500 0.7500 0.5000
I: 0.2387 0.2387 0.5226
I: 0.7613 0.7613 0.4774
I: 0.2398 0.2398 0.0000
I: 0.7602 0.7602 0.0000
I: 0.7602 0.2398 0.0000
I: 0.2398 0.7602 0.0000
As: 0.5000 0.5000 0.0000
Ir: 0.0000 0.0000 0.0000

***

First-principles (GGA-PBE) data for a geometry-optimized CsK2AsI6 structure, as listed in the Alexandria database.

Computed properties:
Raw formation energy ... -903 kJ/mol of formula units
Spin magnetization ... 0.00 μB per formula unit
E_tot ... -2.636 eV/atom

Lattice parameters (Å, degrees): 8.7525 8.7524 9.1585 61.46 61.46 60.00
Sites, in units of the cell vectors:
Cs: 0.8140 0.8140 0.5581
K: 0.5288 0.5288 0.4137
K: 0.0095 0.0095 0.9716
As: 0.3286 0.3286 0.0143
I: 0.5431 0.2372 0.2318
I: 0.2372 0.9879 0.2317
I: 0.9879 0.5431 0.2317
I: 0.3959 0.6720 0.7875
I: 0.6720 0.1447 0.7875
I: 0.1447 0.3959 0.7874

***

First-principles (GGA-PBE) data for a geometry-optimized Cs2KAsI6 structure, as listed in the Alexandria database.

Computed properties:
Raw formation energy ... -931 kJ/mol of formula units
Spin magnetization ... 0.00 μB per formula unit
Relative energy among the computed polymorphs ... 0.016 eV per atom
E_tot ... -2.641 eV/atom

Lattice parameters (Å, degrees): 8.8662 8.8662 8.8662 60.00 60.00 60.00
Sites, in units of the cell vectors:
Cs: 0.7500 0.7500 0.7500
Cs: 0.2500 0.2500 0.2500
K: 0.5000 0.5000 0.5000
As: 0.0000 0.0000 0.0000
I: 0.7702 0.2298 0.2298
I: 0.2298 0.2298 0.7702
I: 0.2298 0.7702 0.7702
I: 0.2298 0.7702 0.2298
I: 0.7702 0.2298 0.7702
I: 0.7702 0.7702 0.2298

***

First-principles (GGA-PBE) data for a geometry-optimized CsKAsI6 structure, as listed in the Alexandria database.

Computed properties:
Raw formation energy ... -556 kJ/mol of formula units
Spin magnetization ... 1.21 μB per formula unit
E_tot ... -2.407 eV/atom

Lattice parameters (Å, degrees): 8.5898 8.5898 8.0021 90.00 89.99 59.98
Site moments in Bohr magnetons follow the coordinates.
Sites, in units of the cell vectors:
Cs: 0.9999 0.0000 0.9998  0.00
K: 0.6666 0.6666 0.5004  0.00
As: 0.3333 0.3334 0.4998  -0.01
I: 0.0606 0.3325 0.2916  0.12
I: 0.3324 0.0609 0.7084  0.12
I: 0.6066 0.3326 0.7084  0.12
I: 0.0605 0.6070 0.7081  0.12
I: 0.3328 0.6067 0.2915  0.12
I: 0.6070 0.0604 0.2918  0.12

***

First-principles (GGA-PBE) data for a geometry-optimized Cs2KAsI6 structure, as listed in the Alexandria database.

Computed properties:
Raw formation energy ... -947 kJ/mol of formula units
Spin magnetization ... 0.00 μB per formula unit
Relative energy among the computed polymorphs ... 0.000 eV per atom
E_tot ... -2.657 eV/atom

Lattice parameters (Å, degrees): 8.6702 9.0066 12.5052 90.00 90.13 90.00
Sites, in units of the cell vectors:
Cs: 0.0210 0.9347 0.2483
Cs: 0.5210 0.5653 0.7483
Cs: 0.9790 0.0653 0.7517
Cs: 0.4790 0.4347 0.2517
K: 0.5000 0.0000 0.0000
K: 0.0000 0.5000 0.5000
As: 0.5000 0.0000 0.5000
As: 0.0000 0.5000 0.0000
I: 0.2736 0.6797 0.0373
I: 0.7736 0.8203 0.5373
I: 0.7264 0.3203 0.9627
I: 0.2264 0.1797 0.4627
I: 0.3223 0.7306 0.4640
I: 0.8223 0.7694 0.9640
I: 0.6777 0.2694 0.5360
I: 0.1777 0.2306 0.0360
I: 0.9271 0.5090 0.2260
I: 0.4271 0.9910 0.7260
I: 0.0729 0.4910 0.7740
I: 0.5729 0.0090 0.2740